The following is a GGA-PBE calculation of a relaxed structure of GeSe3F, from Alexandria.

Lattice parameters (Å, degrees): 4.690 4.690 4.690 90.00 90.00 90.00
Fractional coordinates of all 5 atoms:
Ge 0.000 0.000 0.000
Se 0.000 0.500 0.500
Se 0.500 0.000 0.500
Se 0.500 0.500 0.000
F 0.500 0.500 0.500

Properties
- Density: 5.288 Mg/m³
- Size of the total moment: 0.00 μB/f.u.
- Raw formation energy: 0.355 eV per atom
- VASP energy: -3.034 eV/atom
- Distance to the lowest polymorph of the same formula: 0.0 meV per atom
- SG: No. 221

***

The following is a GGA-PBE calculation of a relaxed structure of TaIrAu3, from Alexandria.

Lattice parameters (Å, degrees): 4.914 4.914 4.914 90.00 90.00 90.00
Fractional coordinates of all 5 atoms:
Ta 0.000 0.000 0.000
Ir 0.500 0.500 0.500
Au 0.000 0.500 0.500
Au 0.500 0.000 0.500
Au 0.500 0.500 0.000

Properties
- Density: 13.489 Mg/m³
- Size of the total moment: 0.00 μB/f.u.
- DFT formation energy: 1.69 eV per atom
- VASP energy: -4.422 eV/atom
- Distance to the lowest polymorph of the same formula: 0.0 meV per atom
- SG: No. 221

***

Q: Among the records above, which one has the highest density?
A: TaIrAu3

***

Q: What is the formula in the second record?
A: TaIrAu3

***

Q: Which of these has the lowest VASP energy?
A: TaIrAu3

***

Q: Which formula does entry 1 have?
A: GeSe3F